[1]
4
Lattice="-0.8873 3.1462 0.3567 -1.9795 0.8797 2.4740 6.0406 2.7366 6.0456" Properties=species:S:1:pos:R:3 comment="TlBCl2 (GGA-PBEsol, relaxed)" e_form_raw_ev_per_atom=0.39 m_tot_mub_per_fu=0.00 space_group="R-3m (166)" density_g_cm3=5.8 pbc="T T T"
Tl 0.0000 0.0000 0.0000
B 1.5869 3.3813 4.4381
Cl -0.4250 4.5127 4.6114
Cl 3.5988 2.2499 4.2649



[2]
5
Lattice="-2.8168 0.1405 2.9962 -2.8747 -1.2996 -2.6417 0.8561 -3.9016 0.9878" Properties=species:S:1:pos:R:3 comment="ZnB3Cl (GGA-PBEsol, relaxed)" e_form_raw_ev_per_atom=1.85 m_tot_mub_per_fu=0.00 space_group="Pm-3m (221)" density_g_cm3=3.2 pbc="T T T"
Zn 0.0000 0.0000 0.0000
B -1.4374 -0.6498 -1.3208
B 0.4281 -1.9508 0.4939
B -1.4084 0.0702 1.4981
Cl -2.4177 -2.5304 0.6712